# 1
# ThAl10Ir2

An optimized crystal structure of ThAl10Ir2 (PBE, Alexandria).

Computed properties:
Total energy ... -139.1 eV/cell
SG ... Cmcm (63)
Spin magnetization ... 0.0 μB per formula unit
E_form ... -538 meV per atom

abc: 6.8803 6.8803 9.2215
angles: 90.00 90.00 97.27
Atoms (fractional coordinates):
Th 0.1235 0.8765 0.7500
Th 0.8765 0.1235 0.2500
Al 0.1402 0.3981 0.7500
Al 0.1585 0.8415 0.1040
Al 0.1585 0.8415 0.3960
Al 0.2175 0.2175 0.0000
Al 0.2175 0.2175 0.5000
Al 0.2280 0.4813 0.2500
Al 0.3818 0.6182 0.5572
Al 0.3818 0.6182 0.9428
Al 0.3981 0.1402 0.2500
Al 0.4813 0.2280 0.7500
Al 0.5187 0.7720 0.2500
Al 0.6019 0.8598 0.7500
Al 0.6182 0.3818 0.0572
Al 0.6182 0.3818 0.4428
Al 0.7720 0.5187 0.7500
Al 0.7825 0.7825 0.0000
Al 0.7825 0.7825 0.5000
Al 0.8415 0.1585 0.6040
Al 0.8415 0.1585 0.8960
Al 0.8598 0.6019 0.2500
Ir 0.0000 0.5000 0.0000
Ir 0.0000 0.5000 0.5000
Ir 0.5000 0.0000 0.0000
Ir 0.5000 0.0000 0.5000

---

# 2
# Pu2UReC4

An optimized crystal structure of Pu2UReC4 (PBE, Alexandria).

Computed properties:
Total energy ... -176.2 eV/cell
SG ... Cmcm (63)
Spin magnetization ... 6.9 μB per formula unit
E_form ... 152 meV per atom

abc: 6.1059 6.1059 12.0265
angles: 90.00 90.00 148.45
Atoms (fractional coordinates):
Pu 0.1342 0.8658 0.5425
Pu 0.1342 0.8658 0.9575
Pu 0.8658 0.1342 0.0425
Pu 0.8658 0.1342 0.4575
U 0.3867 0.6133 0.7500
U 0.6133 0.3867 0.2500
Re 0.3516 0.6484 0.2500
Re 0.6484 0.3516 0.7500
C 0.0405 0.9595 0.7500
C 0.2278 0.7722 0.1339
C 0.2278 0.7722 0.3661
C 0.5000 0.5000 0.0000
C 0.5000 0.5000 0.5000
C 0.7722 0.2278 0.6339
C 0.7722 0.2278 0.8661
C 0.9595 0.0405 0.2500

---

# 3
# KTaCu2Cl8

An optimized crystal structure of KTaCu2Cl8 (PBE, Alexandria).

Computed properties:
Total energy ... -48.3 eV/cell
Raw formation energy ... -1.0309 eV/atom
SG ... R32 (155)
Spin magnetization ... 0.2 μB per formula unit

abc: 11.8103 11.8103 11.8103
angles: 29.54 29.54 29.54
Atoms (fractional coordinates):
K 0.0000 0.0000 0.0000
Ta 0.5000 0.5000 0.5000
Cu 0.2427 0.2427 0.2427
Cu 0.7573 0.7573 0.7573
Cl 0.1516 0.4485 0.7633
Cl 0.2367 0.5515 0.8484
Cl 0.3068 0.3068 0.3068
Cl 0.4485 0.7633 0.1516
Cl 0.5515 0.8484 0.2367
Cl 0.6932 0.6932 0.6932
Cl 0.7633 0.1516 0.4485
Cl 0.8484 0.2367 0.5515

---

# 4
# Gd2NpZn

An optimized crystal structure of Gd2NpZn (PBE, Alexandria).

Computed properties:
Total energy ... -41.4 eV/cell
SG ... R-3m (166)
Spin magnetization ... 19.1 μB per formula unit
E_form ... 246 meV per atom

abc: 10.5956 10.5956 10.5956
angles: 18.74 18.74 18.74
Atoms (fractional coordinates):
Gd 0.2427 0.2427 0.2427
Gd 0.7573 0.7573 0.7573
Np 0.0000 0.0000 0.0000
Zn 0.5000 0.5000 0.5000